# Sr2RhBr PBEsol relaxed
data_Sr2RhBr
_chemical_formula_sum 'Sr2 Rh1 Br1'
_symmetry_space_group_name_H-M 'P 1'
_symmetry_Int_Tables_number 1
_symmetry_space_group_name_Hall 'P 1'
_cell_length_a 3.6031
_cell_length_b 3.6031
_cell_length_c 8.0037
_cell_angle_alpha 90.00
_cell_angle_beta 90.00
_cell_angle_gamma 90.00
loop_
_atom_site_label
_atom_site_type_symbol
_atom_site_fract_x
_atom_site_fract_y
_atom_site_fract_z
Sr1 Sr 0.0000 0.0000 0.7184
Sr2 Sr 0.0000 0.0000 0.2816
Rh1 Rh 0.5000 0.5000 0.5000
Br1 Br 0.5000 0.5000 0.0000
# Total DFT energy (no corrections) (eV per atom): -4.265
# DOS at the Fermi energy (states/eV/f.u.): 0.63
# Raw formation energy (eV per atom): -0.842
# SG: P4/mmm, No. 123